Entry 1:
Computed, not measured: YAgAs2O8 after structural relaxation at the PBE-GGA level of DFT.

Lattice parameters (Å, degrees): 7.144 7.144 6.470 90.00 90.00 90.00
Space group I-4m2 (No. 119)
One atom of each set of equivalent atoms:
Y 0.000 0.000 0.000 (multiplicity 2)
Ag 0.000 0.500 0.250 (multiplicity 2)
As 0.000 0.000 0.500 (multiplicity 2)
As 0.000 0.500 0.750 (multiplicity 2)
O 0.000 0.177 0.318 (multiplicity 8)
O 0.000 0.315 0.920 (multiplicity 8)

Summary:
Formation energy (no corrections) = -1.36 eV/atom
D(E_F) = 0.732 states/eV/atom
E = -6.216 eV per atom

---

Entry 2:
Computed, not measured: CeHfGe2Ir5 after structural relaxation at the PBE-GGA level of DFT.

Lattice parameters (Å, degrees): 3.963 3.963 11.585 90.00 90.00 90.00
Space group P4/mmm (No. 123)
One atom of each set of equivalent atoms:
Ce 0.000 0.000 0.000 (multiplicity 1)
Hf 0.000 0.000 0.500 (multiplicity 1)
Ge 0.500 0.500 0.210 (multiplicity 2)
Ir 0.000 0.500 0.336 (multiplicity 4)
Ir 0.500 0.500 0.000 (multiplicity 1)

Summary:
D(E_F) = 1.111 states/eV/atom
E = -8.105 eV per atom
Formation enthalpy at 0 K = -0.39 eV/atom

---

Entry 3:
Computed, not measured: La4NdCo2 after structural relaxation at the PBE-GGA level of DFT.

Lattice parameters (Å, degrees): 7.468 6.885 8.087 90.00 109.62 90.00
Space group P2_1/m (No. 11)
One atom of each set of equivalent atoms:
La 0.109 0.250 0.465 (multiplicity 2)
La 0.206 0.750 0.256 (multiplicity 2)
La 0.253 0.007 0.925 (multiplicity 4)
Nd 0.491 0.250 0.347 (multiplicity 2)
Co 0.103 0.250 0.150 (multiplicity 2)
Co 0.469 0.250 0.719 (multiplicity 2)

Summary:
D(E_F) = 1.159 states/eV/atom
E = -5.535 eV per atom
Formation enthalpy at 0 K = -0.01 eV/atom